The following is a DFT calculation (PBE+U) of Sr2NiF after structural relaxation. Values from VASP.

```
&SYSTEM
  ibrav = 0, nat = 16, ntyp = 3
/
ATOMIC_SPECIES
Sr 87.62 Sr.upf
Ni 58.69 Ni.upf
F 19.00 F.upf
ATOMIC_POSITIONS angstrom
Sr 1.7845 1.7845 1.7845
Sr 1.7845 1.7845 5.3534
Sr 1.7845 5.3534 1.7845
Sr 1.7845 5.3534 5.3534
Sr 5.3534 1.7845 1.7845
Sr 5.3534 1.7845 5.3534
Sr 5.3534 5.3534 1.7845
Sr 5.3534 5.3534 5.3534
Ni 0.0000 0.0000 0.0000
Ni 0.0000 3.5690 3.5690
Ni 3.5690 0.0000 3.5690
Ni 3.5690 3.5690 0.0000
F 0.0000 0.0000 3.5690
F 0.0000 3.5690 0.0000
F 3.5690 0.0000 0.0000
F 3.5690 3.5690 3.5690
CELL_PARAMETERS angstrom
7.1379 0.0000 0.0000
0.0000 7.1379 0.0000
0.0000 0.0000 7.1379
```

SG = No. 225
distance to the lowest polymorph of the same formula = 276 meV/atom
total energy = -41.23 eV for the cell shown